Record 1
VASP calculation (PBE with a Hubbard U) on a geometry-optimized Li7Mn4CoO12 structure.

Results
* volume: 214.7 Å³ per cell
* DFT total energy: -149.32 eV/cell

```
data_Li7Mn4CoO12
_chemical_formula_sum 'Li7 Mn4 Co1 O12'
_space_group_name_H-M_alt 'P 1'
_space_group_IT_number 1
_cell_length_a 5.9157
_cell_length_b 5.9305
_cell_length_c 6.4967
_cell_angle_alpha 76.61
_cell_angle_beta 75.56
_cell_angle_gamma 87.22
loop_
_space_group_symop_operation_xyz
'x,y,z'
loop_
_atom_site_label
_atom_site_type_symbol
_atom_site_fract_x
_atom_site_fract_y
_atom_site_fract_z
Li1 Li 0.0000 0.0000 0.0000
Li2 Li 0.0017 0.5116 0.9995
Li3 Li 0.3234 0.8320 0.6665
Li4 Li 0.3389 0.3343 0.6721
Li5 Li 0.4955 0.0060 0.9968
Li6 Li 0.6594 0.6890 0.3143
Li7 Li 0.6665 0.1700 0.3202
Mn1 Mn 0.1751 0.1735 0.3273
Mn2 Mn 0.4977 0.5128 0.9978
Mn3 Mn 0.8279 0.8435 0.6585
Mn4 Mn 0.8342 0.3413 0.6647
Co1 Co 0.1681 0.6774 0.3261
O1 O 0.0601 0.5891 0.6460
O2 O 0.0815 0.1146 0.6556
O3 O 0.2581 0.7439 0.0078
O4 O 0.2692 0.2778 0.0128
O5 O 0.3819 0.9142 0.3370
O6 O 0.4221 0.4517 0.3091
O7 O 0.5821 0.5676 0.6791
O8 O 0.6230 0.1109 0.6515
O9 O 0.7348 0.7460 0.9739
O10 O 0.7471 0.2780 0.9784
O11 O 0.9178 0.9063 0.3377
O12 O 0.9429 0.4300 0.3453
```


Record 2
VASP calculation (PBE with a Hubbard U) on a geometry-optimized Li4MnCo2O7 structure.

Results
* volume: 240.3 Å³ per cell
* DFT total energy: -163.82 eV/cell

```
data_Li4MnCo2O7
_chemical_formula_sum 'Li8 Mn2 Co4 O14'
_space_group_name_H-M_alt 'P 1'
_space_group_IT_number 1
_cell_length_a 4.9855
_cell_length_b 5.0631
_cell_length_c 10.3533
_cell_angle_alpha 85.46
_cell_angle_beta 76.26
_cell_angle_gamma 71.20
loop_
_space_group_symop_operation_xyz
'x,y,z'
loop_
_atom_site_label
_atom_site_type_symbol
_atom_site_fract_x
_atom_site_fract_y
_atom_site_fract_z
Li1 Li 0.0000 0.0000 0.0000
Li2 Li 0.0625 0.5011 0.8693
Li3 Li 0.1997 0.5046 0.5918
Li4 Li 0.3507 0.5039 0.2919
Li5 Li 0.4981 0.5021 0.0003
Li6 Li 0.6301 0.5030 0.7344
Li7 Li 0.7737 0.5047 0.4413
Li8 Li 0.9367 0.5055 0.1372
Mn1 Mn 0.2743 0.0056 0.4425
Mn2 Mn 0.4236 0.9978 0.1455
Co1 Co 0.1323 0.0033 0.7282
Co2 Co 0.5648 0.0018 0.8665
Co3 Co 0.7019 0.0052 0.5849
Co4 Co 0.8494 0.0086 0.2861
O1 O 0.0153 0.7883 0.4438
O2 O 0.1201 0.2290 0.2972
O3 O 0.1784 0.7701 0.1582
O4 O 0.2733 0.2277 0.0118
O5 O 0.3169 0.7771 0.8565
O6 O 0.3969 0.2155 0.7247
O7 O 0.4460 0.7855 0.5800
O8 O 0.5203 0.2288 0.4476
O9 O 0.5774 0.7761 0.2999
O10 O 0.6662 0.2302 0.1613
O11 O 0.7133 0.7741 0.0123
O12 O 0.8216 0.2269 0.8571
O13 O 0.8721 0.7905 0.7238
O14 O 0.9634 0.2239 0.5796
```


Record 3
VASP calculation (PBE with a Hubbard U) on a geometry-optimized Li4MnCo2O7 structure.

Results
* volume: 251.9 Å³ per cell
* DFT total energy: -163.05 eV/cell

```
data_Li4MnCo2O7
_chemical_formula_sum 'Li8 Mn2 Co4 O14'
_space_group_name_H-M_alt 'P -1'
_space_group_IT_number 2
_cell_length_a 5.0801
_cell_length_b 5.8936
_cell_length_c 8.9097
_cell_angle_alpha 91.00
_cell_angle_beta 96.16
_cell_angle_gamma 107.95
loop_
_space_group_symop_operation_xyz
'x,y,z'
'-x,-y,-z'
loop_
_atom_site_label
_atom_site_type_symbol
_atom_site_fract_x
_atom_site_fract_y
_atom_site_fract_z
Li1 Li 0.0000 0.0000 0.0000
Li2 Li 0.0000 0.5000 0.0000
Li3 Li 0.1425 0.2889 0.2748
Li4 Li 0.2810 0.5723 0.5755
Li5 Li 0.4201 0.8501 0.8603
Mn1 Mn 0.1418 0.7844 0.2802
Co1 Co 0.2866 0.0704 0.5719
Co2 Co 0.4418 0.3672 0.8630
O1 O 0.0153 0.7697 0.4879
O2 O 0.1282 0.5115 0.7796
O3 O 0.1325 0.0565 0.7799
O4 O 0.2892 0.8203 0.0918
O5 O 0.3123 0.3346 0.0726
O6 O 0.4200 0.0899 0.3620
O7 O 0.4239 0.6323 0.3552
```


Record 4
VASP calculation (PBE with a Hubbard U) on a geometry-optimized Li5MnCo2O8 structure.

Results
* volume: 278.1 Å³ per cell
* DFT total energy: -183.85 eV/cell

```
data_Li5MnCo2O8
_chemical_formula_sum 'Li10 Mn2 Co4 O16'
_space_group_name_H-M_alt 'C 1 2 1'
_space_group_IT_number 5
_cell_length_a 10.1639
_cell_length_b 5.8368
_cell_length_c 4.9643
_cell_angle_alpha 90.00
_cell_angle_beta 109.22
_cell_angle_gamma 90.00
loop_
_space_group_symop_operation_xyz
'x,y,z'
'-x,y,-z'
'x+1/2,y+1/2,z'
'-x+1/2,y+1/2,-z'
loop_
_atom_site_label
_atom_site_type_symbol
_atom_site_fract_x
_atom_site_fract_y
_atom_site_fract_z
Li1 Li 0.0000 0.0000 0.0000
Li2 Li 0.2482 0.7475 0.0030
Li3 Li 0.2488 0.5041 0.4987
Mn1 Mn 0.0000 0.2505 0.5000
Co1 Co 0.0000 0.4970 0.0000
Co2 Co 0.0000 0.7637 0.5000
O1 O 0.1072 0.7273 0.2424
O2 O 0.1096 0.2695 0.2478
O3 O 0.1134 0.4914 0.7538
O4 O 0.1173 0.0163 0.7221
```


Record 5
VASP calculation (PBE with a Hubbard U) on a geometry-optimized Li4MnCo2O7 structure.

Results
* volume: 235.8 Å³ per cell
* DFT total energy: -164.69 eV/cell

```
data_Li4MnCo2O7
_chemical_formula_sum 'Li8 Mn2 Co4 O14'
_space_group_name_H-M_alt 'P 1'
_space_group_IT_number 1
_cell_length_a 4.9404
_cell_length_b 5.8011
_cell_length_c 8.6352
_cell_angle_alpha 91.24
_cell_angle_beta 95.43
_cell_angle_gamma 106.58
loop_
_space_group_symop_operation_xyz
'x,y,z'
loop_
_atom_site_label
_atom_site_type_symbol
_atom_site_fract_x
_atom_site_fract_y
_atom_site_fract_z
Li1 Li 0.0000 0.0000 0.0000
Li2 Li 0.0113 0.5000 0.0025
Li3 Li 0.1529 0.2912 0.2813
Li4 Li 0.2998 0.5724 0.5794
Li5 Li 0.4324 0.8526 0.8665
Li6 Li 0.5930 0.1512 0.1401
Li7 Li 0.7257 0.4267 0.4338
Li8 Li 0.8784 0.7127 0.7260
Mn1 Mn 0.1534 0.7847 0.2863
Mn2 Mn 0.4413 0.3609 0.8648
Co1 Co 0.2973 0.0727 0.5765
Co2 Co 0.5828 0.6435 0.1462
Co3 Co 0.7267 0.9318 0.4338
Co4 Co 0.8681 0.2150 0.7186
O1 O 0.0055 0.2245 0.5134
O2 O 0.0177 0.7765 0.4966
O3 O 0.1562 0.0574 0.7807
O4 O 0.1558 0.5112 0.7871
O5 O 0.3051 0.8163 0.0934
O6 O 0.3226 0.3383 0.0688
O7 O 0.4347 0.0876 0.3735
O8 O 0.4439 0.6314 0.3533
O9 O 0.5790 0.3714 0.6553
O10 O 0.5888 0.9186 0.6343
O11 O 0.6998 0.6624 0.9384
O12 O 0.7137 0.1865 0.9161
O13 O 0.8668 0.9455 0.2276
O14 O 0.8724 0.4920 0.2231
```


Record 6
VASP calculation (PBE with a Hubbard U) on a geometry-optimized Li5MnCo2O8 structure.

Results
* volume: 137.2 Å³ per cell
* DFT total energy: -91.41 eV/cell

```
data_Li5MnCo2O8
_chemical_formula_sum 'Li5 Mn1 Co2 O8'
_space_group_name_H-M_alt 'P 1 2/m 1'
_space_group_IT_number 10
_cell_length_a 5.0041
_cell_length_b 2.8483
_cell_length_c 9.7850
_cell_angle_alpha 90.00
_cell_angle_beta 100.39
_cell_angle_gamma 90.00
loop_
_space_group_symop_operation_xyz
'x,y,z'
'-x,-y,-z'
'-x,y,-z'
'x,-y,z'
loop_
_atom_site_label
_atom_site_type_symbol
_atom_site_fract_x
_atom_site_fract_y
_atom_site_fract_z
Li1 Li 0.0000 0.0000 0.0000
Li2 Li 0.2182 0.5000 0.2293
Li3 Li 0.2615 0.0000 0.7569
Mn1 Mn 0.5000 0.5000 0.0000
Co1 Co 0.0000 0.5000 0.5000
Co2 Co 0.5000 0.0000 0.5000
O1 O 0.1360 0.0000 0.3915
O2 O 0.1555 0.5000 0.8797
O3 O 0.3653 0.5000 0.6024
O4 O 0.3817 0.0000 0.1121
```